## Pr4GePtS2 (GGA-PBE)

Data for a relaxed structure of Pr4GePtS2. Values from VASP.

Cell and atoms, written as Quantum ESPRESSO input:
```
&SYSTEM
  ibrav = 0, nat = 8, ntyp = 4
/
ATOMIC_SPECIES
Pr 140.91 Pr.upf
Ge 72.64 Ge.upf
Pt 195.08 Pt.upf
S 32.06 S.upf
CELL_PARAMETERS angstrom
7.2769 0.0000 0.0000
0.0000 4.1786 0.0000
-2.4485 0.0000 7.0030
ATOMIC_POSITIONS crystal
Pr 0.2475 0.0000 0.2495
Pr 0.2502 0.5000 0.7440
Pr 0.7498 0.5000 0.2560
Pr 0.7525 0.0000 0.7505
Ge 0.5000 0.0000 0.0000
Pt 0.0000 0.5000 0.0000
S 0.0000 0.0000 0.5000
S 0.5000 0.5000 0.5000
```

space group	P2/m, No. 10
formation energy (no corrections)	-138	kJ/mol of atoms